DFT (PBE) results for a geometry-optimized CdNiOs3 structure.

Cell and atoms, written as POSCAR:
```
CdNiOs3
1.0
4.4760 0.0000 0.0000
0.0000 4.4760 0.0000
0.0000 0.0000 4.4760
Ni Os Cd
1 3 1
direct
0.0000 0.0000 0.0000
0.0000 0.0000 0.5000
0.5000 0.0000 0.0000
0.0000 0.5000 0.0000
0.5000 0.5000 0.5000
```

Output
Energy of formation from the pure elements: 1844 meV per atom
Total magnetization: 0.60 μB/atom
Calculated volume: 17.93 Å³/atom
SG: No. 221